[1]
# MnV2TeO7, relaxed, DFT GGA+U
data_MnV2TeO7
_chemical_formula_sum 'Mn2 V4 Te2 O14'
_cell_length_a 6.7903
_cell_length_b 7.0213
_cell_length_c 8.0251
_cell_angle_alpha 94.37
_cell_angle_beta 113.35
_cell_angle_gamma 114.62
_space_group_name_H-M_alt 'P 1'
_space_group_IT_number 1
loop_
_space_group_symop_operation_xyz
'x,y,z'
loop_
_atom_site_label
_atom_site_fract_x
_atom_site_fract_y
_atom_site_fract_z
_atom_site_occupancy
O1 0.2504 0.9082 0.8817 1
O2 0.5471 0.6313 0.8434 1
O3 0.1755 0.1815 0.6302 1
O4 0.7351 0.5919 0.5856 1
O5 0.1474 0.9850 0.2562 1
V1 0.5094 0.5679 0.3288 1
V2 0.9742 0.1128 0.3326 1
O6 0.7855 0.2217 0.4396 1
O7 0.3457 0.7429 0.2544 1
V3 0.0258 0.8872 0.6674 1
O8 0.7496 0.0918 0.1183 1
O9 0.2145 0.7783 0.5604 1
O10 0.8526 0.0150 0.7438 1
Mn1 0.4408 0.0654 0.1764 1
O11 0.8245 0.8185 0.3698 1
Te1 0.9405 0.3055 0.7087 1
Mn2 0.5592 0.9346 0.8236 1
Te2 0.0595 0.6945 0.2913 1
O12 0.4529 0.3687 0.1566 1
O13 0.6543 0.2571 0.7456 1
V4 0.4906 0.4321 0.6712 1
O14 0.2649 0.4081 0.4144 1
# Symmetry = P-1, No. 2
# Total DFT energy (no corrections) = -7.207 eV per atom



[2]
# MnVTeO6, relaxed, DFT GGA+U
data_MnVTeO6
_chemical_formula_sum 'Mn2 V2 Te2 O12'
_cell_length_a 5.1436
_cell_length_b 5.1436
_cell_length_c 9.3552
_cell_angle_alpha 90.00
_cell_angle_beta 90.00
_cell_angle_gamma 120.00
_space_group_name_H-M_alt 'P 1'
_space_group_IT_number 1
loop_
_space_group_symop_operation_xyz
'x,y,z'
loop_
_atom_site_label
_atom_site_fract_x
_atom_site_fract_y
_atom_site_fract_z
_atom_site_occupancy
O1 0.6410 0.6424 0.6365 1
O2 0.9985 0.3576 0.1365 1
O3 0.3576 0.9985 0.6365 1
Te1 0.6667 0.3333 0.2500 1
Te2 0.3333 0.6667 0.7500 1
O4 0.3576 0.3590 0.8635 1
O5 0.0015 0.6424 0.8635 1
O6 0.6424 0.0015 0.3635 1
Mn1 0.0000 0.0000 0.5000 1
Mn2 0.0000 0.0000 0.0000 1
O7 0.6424 0.6410 0.1365 1
O8 0.6410 0.9985 0.8635 1
O9 0.3590 0.0015 0.1365 1
V1 0.3333 0.6667 0.2500 1
O10 0.9985 0.6410 0.3635 1
O11 0.3590 0.3576 0.3635 1
O12 0.0015 0.3590 0.6365 1
V2 0.6667 0.3333 0.7500 1
# Symmetry = P-31c, No. 163
# Total DFT energy (no corrections) = -6.779 eV per atom



[3]
# YMnTeO6, relaxed, DFT GGA+U
data_YMnTeO6
_chemical_formula_sum 'Y2 Mn2 Te2 O12'
_cell_length_a 5.5368
_cell_length_b 5.5368
_cell_length_c 8.6956
_cell_angle_alpha 90.00
_cell_angle_beta 90.00
_cell_angle_gamma 120.00
_space_group_name_H-M_alt 'P 1'
_space_group_IT_number 1
loop_
_space_group_symop_operation_xyz
'x,y,z'
loop_
_atom_site_label
_atom_site_fract_x
_atom_site_fract_y
_atom_site_fract_z
_atom_site_occupancy
Y1 0.6667 0.3333 0.7500 1
O1 0.6365 0.9558 0.8735 1
O2 0.6807 0.0442 0.3735 1
O3 0.6365 0.6807 0.6265 1
Mn1 0.0000 0.0000 0.0000 1
O4 0.3193 0.3635 0.8735 1
O5 0.0442 0.3635 0.6265 1
O6 0.6807 0.6365 0.1265 1
Y2 0.3333 0.6667 0.2500 1
O7 0.3635 0.3193 0.3735 1
Mn2 0.0000 0.0000 0.5000 1
Te1 0.6667 0.3333 0.2500 1
O8 0.9558 0.3193 0.1265 1
O9 0.3193 0.9558 0.6265 1
O10 0.9558 0.6365 0.3735 1
Te2 0.3333 0.6667 0.7500 1
O11 0.0442 0.6807 0.8735 1
O12 0.3635 0.0442 0.1265 1
# Symmetry = P-31c, No. 163
# Total DFT energy (no corrections) = -6.901 eV per atom



[4]
# Mn2ZnTeO6, relaxed, DFT GGA+U
data_Mn2ZnTeO6
_chemical_formula_sum 'Mn2 Zn1 Te1 O6'
_cell_length_a 5.3954
_cell_length_b 5.3956
_cell_length_c 5.6433
_cell_angle_alpha 61.44
_cell_angle_beta 61.44
_cell_angle_gamma 60.00
_space_group_name_H-M_alt 'P 1'
_space_group_IT_number 1
loop_
_space_group_symop_operation_xyz
'x,y,z'
loop_
_atom_site_label
_atom_site_fract_x
_atom_site_fract_y
_atom_site_fract_z
_atom_site_occupancy
Zn1 0.8014 0.8014 0.5959 1
O1 0.6860 0.1149 0.7697 1
O2 0.4294 0.6860 0.7697 1
O3 0.5794 0.2076 0.2499 1
Mn1 0.5346 0.5346 0.3962 1
Mn2 0.0248 0.0248 0.9256 1
Te1 0.3205 0.3205 0.0386 1
O4 0.1149 0.4294 0.7697 1
O5 0.9630 0.5794 0.2499 1
O6 0.2076 0.9630 0.2499 1
# Symmetry = R3, No. 146
# Total DFT energy (no corrections) = -6.294 eV per atom



[5]
# MnZn2TeO8, relaxed, DFT GGA+U
data_MnZn2TeO8
_chemical_formula_sum 'Mn1 Zn2 Te1 O8'
_cell_length_a 5.6933
_cell_length_b 5.6933
_cell_length_c 5.6933
_cell_angle_alpha 112.36
_cell_angle_beta 112.36
_cell_angle_gamma 103.84
_space_group_name_H-M_alt 'P 1'
_space_group_IT_number 1
loop_
_space_group_symop_operation_xyz
'x,y,z'
loop_
_atom_site_label
_atom_site_fract_x
_atom_site_fract_y
_atom_site_fract_z
_atom_site_occupancy
Mn1 0.0000 0.0000 0.0000 1
O1 0.9691 0.6611 0.6920 1
Zn1 0.5000 0.5000 0.0000 1
O2 0.9013 0.6985 0.2028 1
Zn2 0.7500 0.2500 0.5000 1
O3 0.3015 0.0987 0.7972 1
O4 0.3389 0.0309 0.3080 1
Te1 0.2500 0.7500 0.5000 1
O5 0.9691 0.2771 0.3080 1
O6 0.7229 0.0309 0.6920 1
O7 0.3015 0.5043 0.2028 1
O8 0.4957 0.6985 0.7972 1
# Symmetry = I-4m2, No. 119
# Total DFT energy (no corrections) = -5.100 eV per atom



[6]
# ZrMn2TeO6, relaxed, DFT GGA+U
data_ZrMn2TeO6
_chemical_formula_sum 'Zr1 Mn2 Te1 O6'
_cell_length_a 5.5010
_cell_length_b 5.5004
_cell_length_c 5.9922
_cell_angle_alpha 62.67
_cell_angle_beta 62.68
_cell_angle_gamma 59.99
_space_group_name_H-M_alt 'P 1'
_space_group_IT_number 1
loop_
_space_group_symop_operation_xyz
'x,y,z'
loop_
_atom_site_label
_atom_site_fract_x
_atom_site_fract_y
_atom_site_fract_z
_atom_site_occupancy
O1 0.9356 0.5970 0.2603 1
O2 0.5970 0.2072 0.2603 1
O3 0.4343 0.7298 0.7406 1
Mn1 0.5169 0.5169 0.4493 1
Mn2 0.0292 0.0292 0.9122 1
Zr1 0.8108 0.8109 0.5674 1
Te1 0.3055 0.3055 0.0835 1
O4 0.7298 0.0955 0.7404 1
O5 0.0954 0.4342 0.7407 1
O6 0.2072 0.9355 0.2604 1
# Symmetry = R3, No. 146
# Total DFT energy (no corrections) = -7.542 eV per atom



[7]
# ZrMnTeO5, relaxed, DFT GGA+U
data_ZrMnTeO5
_chemical_formula_sum 'Zr2 Mn2 Te2 O10'
_cell_length_a 6.2510
_cell_length_b 6.2510
_cell_length_c 8.2990
_cell_angle_alpha 108.76
_cell_angle_beta 108.76
_cell_angle_gamma 109.95
_space_group_name_H-M_alt 'P 1'
_space_group_IT_number 1
loop_
_space_group_symop_operation_xyz
'x,y,z'
loop_
_atom_site_label
_atom_site_fract_x
_atom_site_fract_y
_atom_site_fract_z
_atom_site_occupancy
O1 0.1766 0.4012 0.5832 1
Mn1 0.2491 0.7509 0.2500 1
O2 0.4012 0.1766 0.0832 1
Mn2 0.7509 0.2491 0.7500 1
O3 0.0170 0.6428 0.8920 1
O4 0.9570 0.0430 0.7500 1
O5 0.8234 0.5988 0.4168 1
O6 0.9830 0.3572 0.1080 1
O7 0.6428 0.0170 0.3920 1
Zr1 0.0000 0.0000 0.5000 1
O8 0.3572 0.9830 0.6080 1
Te1 0.7439 0.2561 0.2500 1
O9 0.5988 0.8234 0.9168 1
Zr2 0.0000 0.0000 0.0000 1
O10 0.0430 0.9570 0.2500 1
Te2 0.2561 0.7439 0.7500 1
# Symmetry = C2/c, No. 15
# Total DFT energy (no corrections) = -7.385 eV per atom



[8]
# ThUMn2O8, relaxed, DFT GGA+U
data_ThUMn2O8
_chemical_formula_sum 'Th1 U1 Mn2 O8'
_cell_length_a 4.8201
_cell_length_b 4.8316
_cell_length_c 7.2874
_cell_angle_alpha 84.05
_cell_angle_beta 84.13
_cell_angle_gamma 84.80
_space_group_name_H-M_alt 'P 1'
_space_group_IT_number 1
loop_
_space_group_symop_operation_xyz
'x,y,z'
loop_
_atom_site_label
_atom_site_fract_x
_atom_site_fract_y
_atom_site_fract_z
_atom_site_occupancy
Mn1 0.4753 0.4755 0.7258 1
O1 0.7194 0.7211 0.0539 1
Mn2 0.5247 0.5245 0.2742 1
O2 0.3232 0.3213 0.4780 1
U1 0.0000 0.0000 0.0000 1
O3 0.8017 0.2101 0.2335 1
O4 0.7913 0.1995 0.7659 1
O5 0.1983 0.7899 0.7665 1
O6 0.2806 0.2789 0.9461 1
O7 0.6768 0.6787 0.5220 1
Th1 0.0000 0.0000 0.5000 1
O8 0.2087 0.8005 0.2341 1
# Symmetry = P-1, No. 2
# Total DFT energy (no corrections) = -8.678 eV per atom



[9]
# Ti2MnO6, relaxed, DFT GGA+U
data_Ti2MnO6
_chemical_formula_sum 'Ti2 Mn1 O6'
_cell_length_a 3.6060
_cell_length_b 5.2541
_cell_length_c 6.3077
_cell_angle_alpha 65.95
_cell_angle_beta 73.39
_cell_angle_gamma 69.93
_space_group_name_H-M_alt 'P 1'
_space_group_IT_number 1
loop_
_space_group_symop_operation_xyz
'x,y,z'
loop_
_atom_site_label
_atom_site_fract_x
_atom_site_fract_y
_atom_site_fract_z
_atom_site_occupancy
Ti1 0.8254 0.2246 0.1245 1
Mn1 0.0000 0.5000 0.5000 1
O1 0.0150 0.1791 0.7910 1
O2 0.9850 0.8209 0.2090 1
O3 0.6350 0.3230 0.4069 1
O4 0.2850 0.3299 0.1001 1
O5 0.3650 0.6770 0.5931 1
O6 0.7150 0.6701 0.8999 1
Ti2 0.1746 0.7754 0.8755 1
# Symmetry = C2/m, No. 12
# Total DFT energy (no corrections) = -8.192 eV per atom



[10]
# Ti2MnO4, relaxed, DFT GGA+U
data_Ti2MnO4
_chemical_formula_sum 'Ti4 Mn2 O8'
_cell_length_a 6.1167
_cell_length_b 6.1167
_cell_length_c 6.1167
_cell_angle_alpha 60.00
_cell_angle_beta 60.00
_cell_angle_gamma 60.00
_space_group_name_H-M_alt 'P 1'
_space_group_IT_number 1
loop_
_space_group_symop_operation_xyz
'x,y,z'
loop_
_atom_site_label
_atom_site_fract_x
_atom_site_fract_y
_atom_site_fract_z
_atom_site_occupancy
Ti1 0.5000 0.5000 0.0000 1
Ti2 0.5000 0.5000 0.5000 1
O1 0.7387 0.7387 0.7387 1
Mn1 0.8750 0.8750 0.8750 1
Ti3 0.5000 0.0000 0.5000 1
O2 0.2613 0.2613 0.7162 1
Mn2 0.1250 0.1250 0.1250 1
O3 0.2838 0.7387 0.7387 1
O4 0.2613 0.2613 0.2613 1
Ti4 0.0000 0.5000 0.5000 1
O5 0.2613 0.7162 0.2613 1
O6 0.7162 0.2613 0.2613 1
O7 0.7387 0.7387 0.2838 1
O8 0.7387 0.2838 0.7387 1
# Symmetry = Fd-3m, No. 227
# Total DFT energy (no corrections) = -8.687 eV per atom



[11]
# TiMnO3, relaxed, DFT GGA+U
data_TiMnO3
_chemical_formula_sum 'Ti2 Mn2 O6'
_cell_length_a 5.2576
_cell_length_b 5.2576
_cell_length_c 5.5635
_cell_angle_alpha 61.80
_cell_angle_beta 61.80
_cell_angle_gamma 60.00
_space_group_name_H-M_alt 'P 1'
_space_group_IT_number 1
loop_
_space_group_symop_operation_xyz
'x,y,z'
loop_
_atom_site_label
_atom_site_fract_x
_atom_site_fract_y
_atom_site_fract_z
_atom_site_occupancy
O1 0.1515 0.3779 0.6956 1
Mn1 0.2176 0.2176 0.3471 1
Ti1 0.9957 0.9957 0.0128 1
O2 0.6515 0.2750 0.1956 1
O3 0.7750 0.1515 0.6956 1
O4 0.2750 0.8779 0.1956 1
O5 0.3779 0.7750 0.6956 1
Ti2 0.4957 0.4957 0.5128 1
O6 0.8779 0.6515 0.1956 1
Mn2 0.7176 0.7176 0.8471 1
# Symmetry = R3c, No. 161
# Total DFT energy (no corrections) = -8.548 eV per atom



[12]
# TiMnO3, relaxed, DFT GGA+U
data_TiMnO3
_chemical_formula_sum 'Ti2 Mn2 O6'
_cell_length_a 3.1308
_cell_length_b 6.0091
_cell_length_c 7.7399
_cell_angle_alpha 117.01
_cell_angle_beta 104.28
_cell_angle_gamma 101.54
_space_group_name_H-M_alt 'P 1'
_space_group_IT_number 1
loop_
_space_group_symop_operation_xyz
'x,y,z'
loop_
_atom_site_label
_atom_site_fract_x
_atom_site_fract_y
_atom_site_fract_z
_atom_site_occupancy
O1 0.7083 0.2888 0.1951 1
O2 0.3982 0.2382 0.5446 1
Ti1 0.7601 0.5291 0.8149 1
Ti2 0.2399 0.4709 0.1851 1
O3 0.2917 0.7112 0.8049 1
O4 0.6018 0.7618 0.4554 1
Mn1 0.3078 0.9589 0.6753 1
O5 0.9547 0.7145 0.1294 1
O6 0.0453 0.2855 0.8706 1
Mn2 0.6922 0.0411 0.3247 1
# Symmetry = P-1, No. 2
# Total DFT energy (no corrections) = -8.529 eV per atom



The highest total DFT energy (no corrections) belongs to which entry?
MnZn2TeO8



The highest total DFT energy (no corrections) belongs to which entry?
MnZn2TeO8



What is the formula in the eleventh record?
TiMnO3



Which of these has the lowest total DFT energy (no corrections)?
Ti2MnO4